# SrMgRe2

SrMgRe2 after structural relaxation (PBE, the Alexandria database). Values from VASP.

Geometry as Quantum ESPRESSO input:
```
&SYSTEM
  ibrav = 0, nat = 4, ntyp = 3
/
ATOMIC_SPECIES
Mg 24.30 Mg.upf
Re 186.21 Re.upf
Sr 87.62 Sr.upf
ATOMIC_POSITIONS crystal
Mg 0.500 0.500 0.750
Re 0.000 0.000 0.926
Re 0.000 0.000 0.574
Sr 0.500 0.500 0.250
CELL_PARAMETERS angstrom
-2.700 0.692 0.028
-0.778 -3.168 3.232
1.200 4.492 4.693
```

Properties
As for the density of states at the Fermi level: 3.45 states/eV/cell. Its final energy is -6.2986 eV per atom. As for the formation energy: 745 meV per atom.